DFT (GGA-PBE) results for a relaxed InIr2Cl crystal.

Cell lengths 4.2225, 4.2225, 3.7914 Å; angles 90.00, 90.00, 90.00 degrees
Last column: nearest neighbours and their distance in Å.
Fractional positions:
In 0.0000 0.0000 0.0000  8 Ir 2.84, 4 Cl 2.99
Ir 0.0000 0.5000 0.5000  4 Cl 2.84, 4 In 2.84, 4 Ir 2.99
Ir 0.5000 0.0000 0.5000  4 Cl 2.84, 4 In 2.84, 4 Ir 2.99
Cl 0.5000 0.5000 0.0000  8 Ir 2.84, 4 In 2.99

## Properties
Calculated total energy = -4.75 eV per atom
Energy above the most stable polymorph in this dataset = 649 meV per atom
Size of the total moment = 0.00 μB/atom
ΔE_f (raw) = 823 meV/atom
V = 16.899 A^3/atom


DFT (GGA-PBE) results for a relaxed Tb5Ho3Tm2 crystal.

Cell lengths 10.8844, 10.8844, 10.8844 Å; angles 119.74, 72.16, 144.12 degrees
Last column: nearest neighbours and their distance in Å.
Fractional positions:
Tb 0.0674 0.7500 0.3174  1 Ho 3.21, 4 Tb 3.30-3.35
Tb 0.1707 0.1096 0.2803  1 Tm 3.09, 2 Tb 3.30, 1 Ho 3.45
Tb 0.2500 0.2500 0.0000  6 Tb 3.35-3.64, 4 Tm 3.36
Tb 0.3293 0.6096 0.9388  1 Tm 3.09, 2 Tb 3.30, 1 Ho 3.45
Tb 0.4326 0.7500 0.6826  1 Ho 3.21, 4 Tb 3.30-3.35
Tb 0.5674 0.2500 0.3174  1 Ho 3.21, 4 Tb 3.30-3.35
Tb 0.6707 0.3904 0.0612  1 Tm 3.09, 2 Tb 3.30, 1 Ho 3.45
Tb 0.7500 0.7500 0.0000  6 Tb 3.35-3.64, 4 Tm 3.36
Tb 0.8293 0.8904 0.7197  1 Tm 3.09, 2 Tb 3.30, 1 Ho 3.45
Tb 0.9326 0.2500 0.6826  1 Ho 3.21, 4 Tb 3.30-3.35
Ho 0.1686 0.7941 0.9627  1 Tm 3.44, 8 Tb 3.45-3.84
Ho 0.2500 0.7500 0.5000  4 Tm 3.10, 2 Tb 3.21, 2 Ho 3.35
Ho 0.3314 0.2941 0.6254  1 Tm 3.44, 8 Tb 3.45-3.84
Ho 0.6686 0.7059 0.3746  1 Tm 3.44, 8 Tb 3.45-3.84
Ho 0.7500 0.2500 0.5000  4 Tm 3.10, 2 Tb 3.21, 2 Ho 3.35
Ho 0.8314 0.2059 0.0373  1 Tm 3.44, 8 Tb 3.45-3.84
Tm 0.0233 0.2639 0.2872  3 Tb 3.09-3.36, 3 Ho 3.10-3.44, 2 Tm 3.45
Tm 0.4767 0.7639 0.2405  3 Tb 3.09-3.36, 3 Ho 3.10-3.44, 2 Tm 3.45
Tm 0.5233 0.2361 0.7595  3 Tb 3.09-3.36, 3 Ho 3.10-3.44, 2 Tm 3.45
Tm 0.9767 0.7361 0.7128  3 Tb 3.09-3.36, 3 Ho 3.10-3.44, 2 Tm 3.45

## Properties
Calculated total energy = -4.31 eV per atom
Energy above the most stable polymorph in this dataset = 69 meV per atom
Energy of formation from the pure elements = 0.272 eV per atom
Size of the total moment = 0.00 μB/atom
V = 32.224 A^3/atom


DFT (GGA-PBE) results for a relaxed MgMnW3 crystal.

Cell lengths 4.5211, 4.5211, 4.5211 Å; angles 90.00, 90.00, 90.00 degrees
Last column: nearest neighbours and their distance in Å.
Fractional positions:
Mg 0.0000 0.0000 0.0000  12 W 3.20
Mn 0.5000 0.5000 0.5000  6 W 2.26
W 0.0000 0.5000 0.5000  2 Mn 2.26
W 0.5000 0.0000 0.5000  2 Mn 2.26
W 0.5000 0.5000 0.0000  2 Mn 2.26

## Properties
Calculated total energy = -8.66 eV per atom
Energy above the most stable polymorph in this dataset = 0 meV per atom
Energy of formation from the pure elements = 1.263 eV per atom
Size of the total moment = 0.00 μB/atom
V = 18.483 A^3/atom


DFT (GGA-PBE) results for a relaxed Sc4Ir crystal.

Cell lengths 5.0553, 5.0553, 5.0553 Å; angles 90.00, 90.00, 90.00 degrees
Last column: nearest neighbours and their distance in Å.
Fractional positions:
Sc 0.0000 0.0000 0.0000  12 Sc 3.57
Sc 0.0000 0.5000 0.5000  2 Ir 2.53
Sc 0.5000 0.0000 0.5000  2 Ir 2.53
Sc 0.5000 0.5000 0.0000  2 Ir 2.53
Ir 0.5000 0.5000 0.5000  6 Sc 2.53

## Properties
Calculated total energy = -7.03 eV per atom
Energy above the most stable polymorph in this dataset = 197 meV per atom
Energy of formation from the pure elements = -0.197 eV per atom
Size of the total moment = 0.00 μB/atom
V = 25.838 A^3/atom


DFT (GGA-PBE) results for a relaxed SiSe2BrCl crystal.

Cell lengths 5.0968, 5.0968, 5.0554 Å; angles 90.00, 90.00, 90.00 degrees
Last column: nearest neighbours and their distance in Å.
Fractional positions:
Si 0.0000 0.0000 0.0000  8 Se 3.59, 4 Br 3.60
Se 0.0000 0.5000 0.5000  2 Cl 2.55
Se 0.5000 0.0000 0.5000  2 Cl 2.55
Br 0.5000 0.5000 0.0000  2 Cl 2.53
Cl 0.5000 0.5000 0.5000  2 Br 2.53, 4 Se 2.55

## Properties
Calculated total energy = -2.21 eV per atom
Energy above the most stable polymorph in this dataset = 629 meV per atom
Size of the total moment = 0.13 μB/atom
ΔE_f (raw) = 976 meV/atom
V = 26.265 A^3/atom


DFT (GGA-PBE) results for a relaxed Li3Pm3SnS8 crystal.

Cell lengths 7.7043, 7.7043, 7.7043 Å; angles 62.47, 62.47, 62.47 degrees
Last column: nearest neighbours and their distance in Å.
Fractional positions:
Li 0.0000 0.5000 0.5000  6 S 2.72-2.77
Li 0.5000 0.0000 0.5000  6 S 2.72-2.77
Li 0.5000 0.5000 0.0000  6 S 2.72-2.77
Pm 0.0000 0.0000 0.5000  6 S 2.78-2.84
Pm 0.0000 0.5000 0.0000  6 S 2.78-2.84
Pm 0.5000 0.0000 0.0000  6 S 2.78-2.84
Sn 0.5000 0.5000 0.5000  6 S 2.62
S 0.2508 0.2508 0.2508  3 Li 2.77, 3 Pm 2.78
S 0.2641 0.2641 0.7254  1 Sn 2.62, 2 Li 2.72, 2 Pm 2.84
S 0.2641 0.7254 0.2641  1 Sn 2.62, 2 Li 2.72, 2 Pm 2.84
S 0.2746 0.7359 0.7359  1 Sn 2.62, 2 Li 2.72, 2 Pm 2.84
S 0.7254 0.2641 0.2641  1 Sn 2.62, 2 Li 2.72, 2 Pm 2.84
S 0.7359 0.2746 0.7359  1 Sn 2.62, 2 Li 2.72, 2 Pm 2.84
S 0.7359 0.7359 0.2746  1 Sn 2.62, 2 Li 2.72, 2 Pm 2.84
S 0.7492 0.7492 0.7492  3 Li 2.77, 3 Pm 2.78

## Properties
Calculated total energy = -5.30 eV per atom
Size of the total moment = 0.00 μB/atom
ΔE_f (raw) = -1497 meV/atom
V = 22.742 A^3/atom


DFT (GGA-PBE) results for a relaxed Rb3Y2Cl9 crystal.

Cell lengths 9.7605, 9.7605, 9.7605 Å; angles 84.28, 84.28, 84.28 degrees
Last column: nearest neighbours and their distance in Å.
Fractional positions:
Rb 0.0828 0.7500 0.4172  12 Cl 3.64-3.92
Rb 0.2500 0.5828 0.9172  12 Cl 3.64-3.92
Rb 0.4172 0.0828 0.7500  12 Cl 3.64-3.92
Rb 0.5828 0.9172 0.2500  12 Cl 3.64-3.92
Rb 0.7500 0.4172 0.0828  12 Cl 3.64-3.92
Rb 0.9172 0.2500 0.5828  12 Cl 3.64-3.92
Y 0.1480 0.1480 0.1480  6 Cl 2.56-2.76
Y 0.3520 0.3520 0.3520  6 Cl 2.56-2.76
Y 0.6480 0.6480 0.6480  6 Cl 2.56-2.76
Y 0.8520 0.8520 0.8520  6 Cl 2.56-2.76
Cl 0.0764 0.2696 0.9175  1 Y 2.56
Cl 0.0825 0.9236 0.7304  1 Y 2.56
Cl 0.0965 0.4035 0.2500  2 Y 2.76
Cl 0.2304 0.4236 0.5825  1 Y 2.56
Cl 0.2500 0.0965 0.4035  2 Y 2.76
Cl 0.2696 0.9175 0.0764  1 Y 2.56
Cl 0.4035 0.2500 0.0965  2 Y 2.76
Cl 0.4175 0.7696 0.5764  1 Y 2.56
Cl 0.4236 0.5825 0.2304  1 Y 2.56
Cl 0.5764 0.4175 0.7696  1 Y 2.56
Cl 0.5825 0.2304 0.4236  1 Y 2.56
Cl 0.5965 0.7500 0.9035  2 Y 2.76
Cl 0.7304 0.0825 0.9236  1 Y 2.56
Cl 0.7500 0.9035 0.5965  2 Y 2.76
Cl 0.7696 0.5764 0.4175  1 Y 2.56
Cl 0.9035 0.5965 0.7500  2 Y 2.76
Cl 0.9175 0.0764 0.2696  1 Y 2.56
Cl 0.9236 0.7304 0.0825  1 Y 2.56

## Properties
Calculated total energy = -4.49 eV per atom
Size of the total moment = 0.00 μB/atom
ΔE_f (raw) = -2171 meV/atom
V = 32.744 A^3/atom


DFT (GGA-PBE) results for a relaxed LiCO crystal.

Cell lengths 3.5240, 3.6377, 4.8294 Å; angles 106.08, 95.83, 95.90 degrees
Last column: nearest neighbours and their distance in Å.
Fractional positions:
Li 0.0000 0.0000 0.0000  3 O 2.06-2.24, 1 C 2.25
Li 0.4470 0.7690 0.3568  2 O 1.90-2.04
C 0.1325 0.2521 0.4863  1 C 1.38, 1 O 1.51
C 0.4467 0.4208 0.6953  2 O 1.32-1.43, 1 C 1.38
O 0.4705 0.6750 0.9529  1 C 1.32
O 0.7836 0.2374 0.6429  2 C 1.43-1.51

## Properties
Calculated total energy = -6.03 eV per atom
Energy above the most stable polymorph in this dataset = 438 meV per atom
Size of the total moment = 0.00 μB/atom
ΔE_f (raw) = -667 meV/atom
V = 9.770 A^3/atom


DFT (GGA-PBE) results for a relaxed MoPb2 crystal.

Cell lengths 6.9055, 6.9055, 6.9055 Å; angles 90.00, 90.00, 90.00 degrees
Last column: nearest neighbours and their distance in Å.
Fractional positions:
Mo 0.0000 0.0000 0.0000  8 Pb 2.99
Mo 0.0000 0.5000 0.5000  8 Pb 2.99
Mo 0.5000 0.0000 0.5000  8 Pb 2.99
Mo 0.5000 0.5000 0.0000  8 Pb 2.99
Pb 0.2500 0.2500 0.2500  4 Mo 2.99
Pb 0.2500 0.2500 0.7500  4 Mo 2.99
Pb 0.2500 0.7500 0.2500  4 Mo 2.99
Pb 0.2500 0.7500 0.7500  4 Mo 2.99
Pb 0.7500 0.2500 0.2500  4 Mo 2.99
Pb 0.7500 0.2500 0.7500  4 Mo 2.99
Pb 0.7500 0.7500 0.2500  4 Mo 2.99
Pb 0.7500 0.7500 0.7500  4 Mo 2.99

## Properties
Calculated total energy = -5.24 eV per atom
Energy above the most stable polymorph in this dataset = 445 meV per atom
Energy of formation from the pure elements = 0.842 eV per atom
Size of the total moment = 0.81 μB/atom
V = 27.442 A^3/atom


DFT (GGA-PBE) results for a relaxed Y2Ag2Bi crystal.

Cell lengths 7.7823, 7.7823, 4.1894 Å; angles 90.00, 90.00, 90.00 degrees
Last column: nearest neighbours and their distance in Å.
Fractional positions:
Y 0.1697 0.3303 0.0000  6 Ag 3.08-3.13
Y 0.3303 0.8303 0.0000  6 Ag 3.08-3.13
Y 0.6697 0.1697 0.0000  6 Ag 3.08-3.13
Y 0.8303 0.6697 0.0000  6 Ag 3.08-3.13
Ag 0.1250 0.6250 0.5000  1 Ag 2.75, 2 Bi 3.08, 2 Y 3.08
Ag 0.3750 0.1250 0.5000  1 Ag 2.75, 2 Bi 3.08, 2 Y 3.08
Ag 0.6250 0.8750 0.5000  1 Ag 2.75, 2 Bi 3.08, 2 Y 3.08
Ag 0.8750 0.3750 0.5000  1 Ag 2.75, 2 Bi 3.08, 2 Y 3.08
Bi 0.0000 0.0000 0.5000  4 Ag 3.08
Bi 0.5000 0.5000 0.5000  4 Ag 3.08

## Properties
Calculated total energy = -4.92 eV per atom
Energy above the most stable polymorph in this dataset = 0 meV per atom
Energy of formation from the pure elements = -0.422 eV per atom
Size of the total moment = 0.00 μB/atom
V = 25.373 A^3/atom


DFT (GGA-PBE) results for a relaxed Pm2ThC2 crystal.

Cell lengths 3.7217, 3.7217, 29.4143 Å; angles 90.00, 90.00, 120.00 degrees
Last column: nearest neighbours and their distance in Å.
Fractional positions:
Pm 0.0000 0.0000 0.2333  3 C 2.52
Pm 0.0000 0.0000 0.7667  3 C 2.52
Pm 0.3333 0.6667 0.4334  3 C 2.52
Pm 0.3333 0.6667 0.8999  3 C 2.52
Pm 0.6667 0.3333 0.1001  3 C 2.52
Pm 0.6667 0.3333 0.5666  3 C 2.52
Th 0.0000 0.0000 0.0000  6 C 2.69
Th 0.3333 0.6667 0.6667  6 C 2.69
Th 0.6667 0.3333 0.3333  6 C 2.69
C 0.0000 0.0000 0.3885  3 Pm 2.52, 3 Th 2.69
C 0.0000 0.0000 0.6115  3 Pm 2.52, 3 Th 2.69
C 0.3333 0.6667 0.0552  3 Pm 2.52, 3 Th 2.69
C 0.3333 0.6667 0.2781  3 Pm 2.52, 3 Th 2.69
C 0.6667 0.3333 0.7219  3 Pm 2.52, 3 Th 2.69
C 0.6667 0.3333 0.9448  3 Pm 2.52, 3 Th 2.69

## Properties
Calculated total energy = -7.28 eV per atom
Energy of formation from the pure elements = -0.208 eV per atom
Size of the total moment = 0.00 μB/atom
V = 23.523 A^3/atom


DFT (GGA-PBE) results for a relaxed CoHg2As crystal.

Cell lengths 5.4803, 8.4494, 3.3258 Å; angles 90.00, 90.00, 90.00 degrees
Last column: nearest neighbours and their distance in Å.
Fractional positions:
Co 0.0000 0.0000 0.0000  2 As 2.74, 8 Hg 3.02
Co 0.5000 0.5000 0.0000  2 As 2.74, 8 Hg 3.02
Hg 0.2500 0.2500 0.5000  2 Hg 2.74, 4 As 3.02, 4 Co 3.02
Hg 0.2500 0.7500 0.5000  2 Hg 2.74, 4 As 3.02, 4 Co 3.02
Hg 0.7500 0.2500 0.5000  2 Hg 2.74, 4 As 3.02, 4 Co 3.02
Hg 0.7500 0.7500 0.5000  2 Hg 2.74, 4 As 3.02, 4 Co 3.02
As 0.0000 0.5000 0.0000  2 Co 2.74, 8 Hg 3.02
As 0.5000 0.0000 0.0000  2 Co 2.74, 8 Hg 3.02

## Properties
Calculated total energy = -2.54 eV per atom
Energy of formation from the pure elements = 0.551 eV per atom
Size of the total moment = 0.40 μB/atom
V = 19.250 A^3/atom